Entry 1:
## SrCo3H (PBE-GGA)

Data for SrCo3H after structural relaxation.

Unit cell a=4.9398 b=4.9398 c=4.9398 alpha=90.00 beta=90.00 gamma=90.00
Closest atoms and distances in Å follow each position.
Fractional positions:
Sr 0.0000 0.0000 0.0000  6 Co 2.47
Co 0.0000 0.0000 0.5000  2 Sr 2.47
Co 0.0000 0.5000 0.0000  2 Sr 2.47
Co 0.5000 0.0000 0.0000  2 Sr 2.47
H 0.5000 0.5000 0.5000  12 Co 3.49

Summary:
Polymorph energy (0 for the lowest one)   47.96 kcal/mol of atoms


Entry 2:
## SrCoH3 (PBE-GGA)

Data for SrCoH3 after structural relaxation.

Unit cell a=2.9580 b=5.4856 c=5.4856 alpha=51.19 beta=90.00 gamma=90.00
Closest atoms and distances in Å follow each position.
Fractional positions:
Sr 0.0000 0.0000 0.0000  4 H 2.21-2.35
Co 0.5000 0.6772 0.6772  5 H 1.55-1.73
H 0.0000 0.4964 0.8742  2 Co 1.73, 1 H 1.79
H 0.0000 0.8742 0.4964  2 Co 1.73, 1 H 1.79
H 0.5000 0.8341 0.8341  1 Co 1.55


Entry 3:
## SrCoH3 (PBE-GGA)

Data for SrCoH3 after structural relaxation.

Unit cell a=5.6571 b=5.6571 c=5.6571 alpha=61.53 beta=61.53 gamma=61.53
Closest atoms and distances in Å follow each position.
Fractional positions:
Sr 0.0000 0.0000 0.0000  6 H 2.40
Sr 0.5000 0.5000 0.5000  6 H 2.40
Co 0.2500 0.2500 0.2500  3 H 1.60
Co 0.7500 0.7500 0.7500  3 H 1.60
H 0.0264 0.7500 0.4736  1 Co 1.60
H 0.2500 0.5264 0.9736  1 Co 1.60
H 0.4736 0.0264 0.7500  1 Co 1.60
H 0.5264 0.9736 0.2500  1 Co 1.60
H 0.7500 0.4736 0.0264  1 Co 1.60
H 0.9736 0.2500 0.5264  1 Co 1.60


Entry 4:
## Sr12Co3H5 (PBE-GGA)

Data for Sr12Co3H5 after structural relaxation.

Unit cell a=14.4646 b=14.4646 c=14.4646 alpha=109.47 beta=109.47 gamma=109.47
Closest atoms and distances in Å follow each position.
Fractional positions:
Sr 0.0267 0.2129 0.1244  1 H 2.43
Sr 0.0267 0.3139 0.9023  1 H 2.43
Sr 0.0884 0.7129 0.6861  1 H 2.43
Sr 0.0884 0.8756 0.4023  1 H 2.43
Sr 0.0977 0.6244 0.4116  1 H 2.43
Sr 0.0977 0.9733 0.6861  1 H 2.43
Sr 0.1244 0.0267 0.2129  1 H 2.43
Sr 0.1244 0.5977 0.9116  1 H 2.43
Sr 0.1861 0.2129 0.5884  1 H 2.43
Sr 0.1861 0.4733 0.5977  1 H 2.43
Sr 0.2129 0.1244 0.0267  1 H 2.43
Sr 0.2129 0.5884 0.1861  1 H 2.43
Sr 0.2871 0.3139 0.9116  1 H 2.43
Sr 0.2871 0.4733 0.3756  1 H 2.43
Sr 0.3139 0.9023 0.0267  1 H 2.43
Sr 0.3139 0.9116 0.2871  1 H 2.43
Sr 0.3756 0.2871 0.4733  1 H 2.43
Sr 0.3756 0.5884 0.9023  1 H 2.43
Sr 0.4023 0.0884 0.8756  1 H 2.43
Sr 0.4023 0.8139 0.5267  1 H 2.43
Sr 0.4116 0.0977 0.6244  1 H 2.43
Sr 0.4116 0.8139 0.7871  1 H 2.43
Sr 0.4733 0.3756 0.2871  1 H 2.43
Sr 0.4733 0.5977 0.1861  1 H 2.43
Sr 0.5267 0.4023 0.8139  1 H 2.43
Sr 0.5267 0.6244 0.7129  1 H 2.43
Sr 0.5884 0.1861 0.2129  1 H 2.43
Sr 0.5884 0.9023 0.3756  1 H 2.43
Sr 0.5977 0.1861 0.4733  1 H 2.43
Sr 0.5977 0.9116 0.1244  1 H 2.43
Sr 0.6244 0.4116 0.0977  1 H 2.43
Sr 0.6244 0.7129 0.5267  1 H 2.43
Sr 0.6861 0.0884 0.7129  1 H 2.43
Sr 0.6861 0.0977 0.9733  1 H 2.43
Sr 0.7129 0.5267 0.6244  1 H 2.43
Sr 0.7129 0.6861 0.0884  1 H 2.43
Sr 0.7871 0.4116 0.8139  1 H 2.43
Sr 0.7871 0.8756 0.9733  1 H 2.43
Sr 0.8139 0.5267 0.4023  1 H 2.43
Sr 0.8139 0.7871 0.4116  1 H 2.43
Sr 0.8756 0.4023 0.0884  1 H 2.43
Sr 0.8756 0.9733 0.7871  1 H 2.43
Sr 0.9023 0.0267 0.3139  1 H 2.43
Sr 0.9023 0.3756 0.5884  1 H 2.43
Sr 0.9116 0.1244 0.5977  1 H 2.43
Sr 0.9116 0.2871 0.3139  1 H 2.43
Sr 0.9733 0.6861 0.0977  1 H 2.43
Sr 0.9733 0.7871 0.8756  1 H 2.43
Co 0.1250 0.2500 0.3750  8 Sr 3.19-3.29
Co 0.1250 0.3750 0.7500  8 Sr 3.19-3.29
Co 0.2500 0.3750 0.1250  8 Sr 3.19-3.29
Co 0.2500 0.8750 0.6250  8 Sr 3.19-3.29
Co 0.3750 0.1250 0.2500  8 Sr 3.19-3.29
Co 0.3750 0.7500 0.1250  8 Sr 3.19-3.29
Co 0.6250 0.2500 0.8750  8 Sr 3.19-3.29
Co 0.6250 0.8750 0.7500  8 Sr 3.19-3.29
Co 0.7500 0.1250 0.3750  8 Sr 3.19-3.29
Co 0.7500 0.6250 0.8750  8 Sr 3.19-3.29
Co 0.8750 0.6250 0.2500  8 Sr 3.19-3.29
Co 0.8750 0.7500 0.6250  8 Sr 3.19-3.29
H 0.0000 0.0000 0.0000  6 Sr 2.81
H 0.0000 0.0000 0.5000  6 Sr 2.81
H 0.0000 0.5000 0.0000  6 Sr 2.81
H 0.0000 0.5000 0.5000  6 Sr 2.81
H 0.1250 0.7500 0.8750  4 Sr 2.43
H 0.1250 0.8750 0.2500  4 Sr 2.43
H 0.2500 0.1250 0.8750  4 Sr 2.43
H 0.2500 0.6250 0.3750  4 Sr 2.43
H 0.3750 0.2500 0.6250  4 Sr 2.43
H 0.3750 0.6250 0.7500  4 Sr 2.43
H 0.5000 0.0000 0.0000  6 Sr 2.81
H 0.5000 0.0000 0.5000  6 Sr 2.81
H 0.5000 0.5000 0.0000  6 Sr 2.81
H 0.5000 0.5000 0.5000  6 Sr 2.81
H 0.6250 0.3750 0.2500  4 Sr 2.43
H 0.6250 0.7500 0.3750  4 Sr 2.43
H 0.7500 0.3750 0.6250  4 Sr 2.43
H 0.7500 0.8750 0.1250  4 Sr 2.43
H 0.8750 0.1250 0.7500  4 Sr 2.43
H 0.8750 0.2500 0.1250  4 Sr 2.43


Entry 5:
## SrCoH3 (PBE-GGA)

Data for SrCoH3 after structural relaxation.

Unit cell a=5.2557 b=3.4894 c=5.6736 alpha=90.00 beta=94.27 gamma=90.00
Closest atoms and distances in Å follow each position.
Fractional positions:
Sr 0.2318 0.0000 0.2303  11 H 2.57-2.72
Sr 0.7682 0.0000 0.7697  11 H 2.57-2.72
Co 0.2722 0.5000 0.6889  2 H 1.52-1.67
Co 0.7278 0.5000 0.3111  2 H 1.52-1.67
H 0.0000 0.5000 0.5000  2 Co 1.72
H 0.1197 0.5000 0.9067  1 Co 1.52, 1 H 1.70
H 0.2757 0.0000 0.7035  2 Co 1.75
H 0.5000 0.5000 0.5000  2 Co 1.67
H 0.7243 0.0000 0.2965  2 Co 1.75
H 0.8803 0.5000 0.0933  1 Co 1.52, 1 H 1.70


Entry 6:
## SrCoH3 (PBE-GGA)

Data for SrCoH3 after structural relaxation.

Unit cell a=5.8909 b=5.8909 c=5.8909 alpha=48.07 beta=48.07 gamma=48.07
Closest atoms and distances in Å follow each position.
Fractional positions:
Sr 0.1054 0.1054 0.1054  6 H 2.48
Sr 0.8946 0.8946 0.8946  6 H 2.48
Co 0.3307 0.3307 0.3307  6 H 1.69-1.74
Co 0.6693 0.6693 0.6693  6 H 1.69-1.74
H 0.0655 0.5647 0.5647  2 Co 1.69-1.74
H 0.4353 0.4353 0.9345  2 Co 1.69-1.74
H 0.4353 0.9345 0.4353  2 Co 1.69-1.74
H 0.5647 0.0655 0.5647  2 Co 1.69-1.74
H 0.5647 0.5647 0.0655  2 Co 1.69-1.74
H 0.9345 0.4353 0.4353  2 Co 1.69-1.74


Entry 7:
## SrCoH3 (PBE-GGA)

Data for SrCoH3 after structural relaxation.

Unit cell a=3.6390 b=3.6390 c=3.6390 alpha=90.00 beta=90.00 gamma=90.00
Closest atoms and distances in Å follow each position.
Fractional positions:
Sr 0.0000 0.0000 0.0000  12 H 2.57
Co 0.5000 0.5000 0.5000  6 H 1.82
H 0.0000 0.5000 0.5000  2 Co 1.82
H 0.5000 0.0000 0.5000  2 Co 1.82
H 0.5000 0.5000 0.0000  2 Co 1.82


Entry 8:
## Sr3Co2H9 (PBE-GGA)

Data for Sr3Co2H9 after structural relaxation.

Unit cell a=5.1983 b=5.1983 c=6.4033 alpha=90.00 beta=90.00 gamma=120.00
Closest atoms and distances in Å follow each position.
Fractional positions:
Sr 0.0000 0.0000 0.0000  12 H 2.56-2.60
Sr 0.3333 0.6667 0.3422  12 H 2.62-2.66
Sr 0.6667 0.3333 0.6578  12 H 2.62-2.66
Co 0.3333 0.6667 0.8402  6 H 1.63-1.82
Co 0.6667 0.3333 0.1598  6 H 1.63-1.82
H 0.0000 0.5000 0.0000  2 Co 1.82
H 0.1845 0.3689 0.6965  1 Co 1.63
H 0.1845 0.8155 0.6965  1 Co 1.63
H 0.3689 0.1845 0.3035  1 Co 1.63
H 0.5000 0.0000 0.0000  2 Co 1.82
H 0.5000 0.5000 0.0000  2 Co 1.82
H 0.6311 0.8155 0.6965  1 Co 1.63
H 0.8155 0.1845 0.3035  1 Co 1.63
H 0.8155 0.6311 0.3035  1 Co 1.63


| no. | total energy (eV per atom) |
| --- | --- |
| 1 | -2.566 |
| 2 | -3.635 |
| 3 | -3.735 |
| 4 | -2.889 |
| 5 | -4.032 |
| 6 | -4.017 |
| 7 | -4.100 |
| 8 | -3.958 |